Record 1
Entry from the Alexandria database: an optimized crystal structure of Pr2Nd4Tm (PBE).

Cell lengths 3.6659, 3.6659, 62.6400 Å; angles 90.00, 90.00, 120.00 degrees
Space group R-3m (No. 166, hexagonal axes)
Asymmetric unit:
Pr 0.0000 0.0000 0.0723 [6 per cell]
Nd 0.0000 0.0000 0.2126 [6 per cell]
Nd 0.0000 0.0000 0.3572 [6 per cell]
Tm 0.0000 0.0000 0.5000 [3 per cell]

## Properties
Formation energy, eV per atom: 0.01

***

Record 2
Entry from the Alexandria database: an optimized crystal structure of Pr3Nd3Tm8 (PBE).

Cell lengths 5.667, 10.727, 15.265 Å; angles 90.00, 90.00, 90.00 degrees
Space group Immm (No. 71)
Asymmetric unit:
Pr 0.000 0.000 0.000 [2 per cell]
Pr 0.000 0.500 0.311 [4 per cell]
Nd 0.000 0.000 0.500 [2 per cell]
Nd 0.000 0.304 0.500 [4 per cell]
Tm 0.000 0.162 0.280 [8 per cell]
Tm 0.000 0.341 0.102 [8 per cell]

## Properties
Formation energy, eV per atom: 0.11